Record 1
Here is a geometry-optimized KNdCl4 structure from Alexandria. Energies are from PBE.

Geometry as POSCAR:
```
KNdCl4
1.0
7.597 0.000 0.000
0.000 4.351 0.000
0.000 0.000 19.324
K Nd Cl
4 4 16
Cartesian
1.624 1.088 3.984
2.175 3.264 13.646
5.422 1.088 5.678
5.973 3.264 15.340
1.891 3.264 8.486
1.907 1.088 18.148
5.689 3.264 1.176
5.706 1.088 10.838
0.077 1.088 1.214
0.695 1.088 7.025
0.705 1.088 15.536
1.078 1.088 10.357
2.720 3.264 0.695
3.093 3.264 5.874
3.104 3.264 16.687
3.722 3.264 10.876
3.875 1.088 8.448
4.493 1.088 2.637
4.504 1.088 13.450
4.877 1.088 18.629
6.519 3.264 8.967
6.891 3.264 3.788
6.902 3.264 12.299
7.520 3.264 18.110
```

**Energy above the most stable polymorph in this dataset**: 0 meV per atom
**D(E_F)**: 0.00 states/eV/cell
**Total moment**: 0.00 Bohr magnetons per cell


Record 2
Here is a geometry-optimized Pm5Ho2Er12 structure from Alexandria. Energies are from PBE.

Geometry as POSCAR:
```
Pm5Ho2Er12
1.0
7.751 -4.623 0.000
7.751 4.623 0.000
-0.325 0.000 8.574
Pm Ho Er
5 2 12
Cartesian
0.000 0.000 0.000
3.556 0.000 0.608
4.393 0.000 4.126
10.784 0.000 4.448
11.621 0.000 7.966
7.589 1.609 4.287
7.589 -1.609 4.287
5.373 2.969 2.233
1.030 0.000 3.217
5.475 1.758 7.131
9.804 2.969 6.342
9.702 1.758 1.443
6.825 0.000 1.418
8.352 0.000 7.157
5.475 -1.758 7.131
5.373 -2.969 2.233
9.702 -1.758 1.443
14.147 0.000 5.357
9.804 -2.969 6.342
```

**Energy above the most stable polymorph in this dataset**: 0 meV per atom
**D(E_F)**: 24.70 states/eV/cell
**Total moment**: 0.00 Bohr magnetons per cell


Record 3
Here is a geometry-optimized Cs2HoCdBr6 structure from Alexandria. Energies are from PBE.

Geometry as POSCAR:
```
Cs2HoCdBr6
1.0
8.261 0.000 0.000
0.000 11.667 0.000
0.000 0.000 8.261
Cs Ho Cd Br
4 2 2 12
Cartesian
2.065 11.666 2.068
2.065 5.834 2.068
6.196 0.001 6.193
6.196 5.833 6.193
2.065 2.917 6.193
6.196 8.750 2.068
2.065 8.750 6.199
6.196 2.917 2.062
0.091 2.917 4.216
0.089 2.917 8.167
2.065 0.124 6.192
2.065 5.710 6.192
4.040 2.917 4.216
4.042 2.917 8.167
4.219 8.750 0.094
4.221 8.750 4.045
6.196 5.957 2.069
6.196 11.543 2.069
8.172 8.750 0.094
8.170 8.750 4.045
```

**D(E_F)**: 8.59 states/eV/cell
**Calculated total energy**: -3.264 eV per atom
**Total moment**: 0.00 Bohr magnetons per cell


Record 4
Here is a geometry-optimized Cs2H4Pt structure from Alexandria. Energies are from PBE.

Geometry as POSCAR:
```
Cs2H4Pt
1.0
6.168 0.000 0.000
0.000 6.168 0.000
0.000 0.000 8.758
Cs H Pt
4 8 2
Cartesian
0.000 3.084 2.190
0.000 3.084 6.569
3.084 0.000 2.190
3.084 0.000 6.569
0.000 0.000 1.665
0.000 0.000 7.093
1.178 1.178 0.000
1.906 4.262 4.379
3.084 3.084 2.714
3.084 3.084 6.044
4.262 1.906 4.379
4.990 4.990 0.000
0.000 0.000 0.000
3.084 3.084 4.379
```

**D(E_F)**: 0.00 states/eV/cell
**Calculated total energy**: -3.445 eV per atom
**Total moment**: 0.15 Bohr magnetons per cell


Record 5
Here is a geometry-optimized Ni2AsAu structure from Alexandria. Energies are from PBE.

Geometry as POSCAR:
```
Ni2AsAu
1.0
2.988 0.000 0.000
0.000 2.988 0.000
0.000 0.000 6.232
Ni As Au
2 1 1
Cartesian
0.000 0.000 1.335
0.000 0.000 4.897
1.494 1.494 0.000
1.494 1.494 3.116
```

**Energy above the most stable polymorph in this dataset**: 0 meV per atom
**D(E_F)**: 2.83 states/eV/cell
**Total moment**: 0.00 Bohr magnetons per cell


Record 6
Here is a geometry-optimized Sn4Sb2AsSe structure from Alexandria. Energies are from PBE.

Geometry as POSCAR:
```
Sn4Sb2AsSe
1.0
0.000 6.028 4.379
4.283 0.000 4.379
4.283 6.028 0.000
Sn Sb As Se
4 2 1 1
Cartesian
4.283 2.875 4.379
6.446 6.028 6.155
4.283 9.181 4.379
2.120 6.028 6.155
2.141 3.014 2.252
6.424 9.041 6.631
4.283 6.028 8.679
4.283 6.028 4.356
```

**D(E_F)**: 3.17 states/eV/cell
**Calculated total energy**: -4.148 eV per atom
**Total moment**: 0.00 Bohr magnetons per cell


Record 7
Here is a geometry-optimized Rb2ZnHg2 structure from Alexandria. Energies are from PBE.

Geometry as POSCAR:
```
Rb2ZnHg2
1.0
7.946 0.000 0.000
0.000 7.946 0.000
0.000 0.000 5.839
Rb Zn Hg
4 2 4
Cartesian
1.404 2.569 0.000
2.569 6.542 0.000
5.377 1.404 0.000
6.542 5.377 0.000
0.000 0.000 2.920
3.973 3.973 2.920
1.118 5.091 2.920
2.855 1.118 2.920
5.091 6.827 2.920
6.827 2.855 2.920
```

**Energy above the most stable polymorph in this dataset**: 0 meV per atom
**D(E_F)**: 6.10 states/eV/cell
**Total moment**: 0.00 Bohr magnetons per cell


Record 8
Here is a geometry-optimized NdHoMg structure from Alexandria. Energies are from PBE.

Geometry as POSCAR:
```
NdHoMg
1.0
5.253 0.000 0.000
0.000 12.969 0.000
0.000 0.000 5.273
Nd Ho Mg
4 4 4
Cartesian
0.000 1.168 1.318
0.000 11.801 3.954
2.627 5.317 3.954
2.627 7.652 1.318
0.000 5.283 1.318
0.000 7.686 3.954
2.627 1.202 3.954
2.627 11.767 1.318
0.000 3.242 3.954
0.000 9.727 1.318
2.627 3.243 1.318
2.627 9.726 3.954
```

**Energy above the most stable polymorph in this dataset**: 0 meV per atom
**D(E_F)**: 15.93 states/eV/cell
**Total moment**: 0.00 Bohr magnetons per cell


Record 9
Here is a geometry-optimized Ba2CdHg3Ge4 structure from Alexandria. Energies are from PBE.

Geometry as POSCAR:
```
Ba2CdHg3Ge4
1.0
4.791 0.000 0.000
0.000 4.791 0.000
0.000 0.000 11.496
Ba Cd Hg Ge
2 1 3 4
Cartesian
0.000 2.396 2.870
2.396 0.000 8.627
0.000 0.000 5.748
0.000 2.396 9.989
2.396 0.000 1.507
2.396 2.396 5.748
0.000 0.000 0.000
0.000 2.396 7.277
2.396 0.000 4.220
2.396 2.396 0.000
```

**D(E_F)**: 4.65 states/eV/cell
**Calculated total energy**: -2.710 eV per atom
**Total moment**: 0.00 Bohr magnetons per cell


Record 10
Here is a geometry-optimized Be2IrPb structure from Alexandria. Energies are from PBE.

Geometry as POSCAR:
```
Be2IrPb
1.0
3.804 0.000 0.000
0.000 3.804 0.000
0.000 0.000 7.943
Be Ir Pb
4 2 2
Cartesian
0.000 0.000 0.000
0.000 1.902 1.986
1.902 0.000 5.958
1.902 1.902 3.972
0.000 1.902 5.958
1.902 0.000 1.986
0.000 0.000 3.972
1.902 1.902 0.000
```

**D(E_F)**: 2.18 states/eV/cell
**Calculated total energy**: -4.622 eV per atom
**Total moment**: 0.00 Bohr magnetons per cell


Record 11
Here is a geometry-optimized Zr2TcHPd structure from Alexandria. Energies are from PBE.

Geometry as POSCAR:
```
Zr2TcHPd
1.0
4.631 0.000 0.000
0.000 4.631 0.000
0.000 0.000 3.542
Zr Tc H Pd
2 1 1 1
Cartesian
0.000 2.315 0.000
2.315 0.000 0.000
0.000 0.000 1.771
2.315 2.315 0.000
2.315 2.315 1.771
```

**Energy above the most stable polymorph in this dataset**: 15 meV per atom
**D(E_F)**: 2.24 states/eV/cell
**Total moment**: 0.00 Bohr magnetons per cell


Record 12
Here is a geometry-optimized TlFeOs structure from Alexandria. Energies are from PBE.

Geometry as POSCAR:
```
TlFeOs
1.0
2.909 0.000 0.000
-1.454 2.519 0.000
0.000 0.000 6.748
Tl Fe Os
1 1 1
Cartesian
0.000 0.000 0.000
1.454 0.840 2.358
0.000 1.679 4.222
```

**Energy above the most stable polymorph in this dataset**: 116 meV per atom
**D(E_F)**: 3.08 states/eV/cell
**Total moment**: 1.99 Bohr magnetons per cell


Record 13
Here is a geometry-optimized RbCaI3 structure from Alexandria. Energies are from PBE.

Geometry as POSCAR:
```
RbCaI3
1.0
6.485 0.000 0.000
0.000 6.485 0.000
0.000 0.000 6.485
Rb Ca I
1 1 3
Cartesian
0.000 0.000 0.000
3.242 3.242 3.242
0.000 0.000 3.242
0.000 3.242 0.000
3.242 0.000 0.000
```

**D(E_F)**: 0.00 states/eV/cell
**Calculated total energy**: -2.181 eV per atom
**Total moment**: 0.00 Bohr magnetons per cell


Record 14
Here is a geometry-optimized SrNbTl2Ga structure from Alexandria. Energies are from PBE.

Geometry as POSCAR:
```
SrNbTl2Ga
1.0
5.351 0.000 0.000
0.000 5.351 0.000
0.000 0.000 5.763
Sr Nb Tl Ga
1 1 2 1
Cartesian
0.000 0.000 0.000
2.675 2.675 0.000
0.000 2.675 2.882
2.675 0.000 2.882
0.000 0.000 2.882
```

**D(E_F)**: 4.62 states/eV/cell
**Calculated total energy**: -2.985 eV per atom
**Total moment**: 3.78 Bohr magnetons per cell


Record 15
Here is a geometry-optimized YHg2TeBr structure from Alexandria. Energies are from PBE.

Geometry as POSCAR:
```
YHg2TeBr
1.0
5.774 0.000 0.000
0.000 5.774 0.000
0.000 0.000 5.379
Y Hg Te Br
1 2 1 1
Cartesian
0.000 0.000 0.000
0.000 2.887 2.690
2.887 0.000 2.690
2.887 2.887 0.000
0.000 0.000 2.690
```

**D(E_F)**: 1.64 states/eV/cell
**Calculated total energy**: -2.334 eV per atom
**Total moment**: 0.00 Bohr magnetons per cell


Record 16
Here is a geometry-optimized CaYAu structure from Alexandria. Energies are from PBE.

Geometry as POSCAR:
```
CaYAu
1.0
3.632 0.000 0.000
0.000 3.632 0.000
0.000 0.000 13.005
Ca Y Au
2 2 2
Cartesian
0.000 0.000 0.000
1.816 1.816 6.502
0.000 0.000 9.470
1.816 1.816 2.968
0.000 0.000 4.538
1.816 1.816 11.041
```

**Energy above the most stable polymorph in this dataset**: 0 meV per atom
**D(E_F)**: 5.62 states/eV/cell
**Total moment**: 0.00 Bohr magnetons per cell


Record 17
Here is a geometry-optimized Li2TlMo structure from Alexandria. Energies are from PBE.

Geometry as POSCAR:
```
Li2TlMo
1.0
3.561 0.000 0.000
0.000 4.292 0.000
0.000 0.000 9.504
Li Tl Mo
4 2 2
Cartesian
0.000 0.000 2.251
0.000 0.000 7.252
1.780 2.146 2.251
1.780 2.146 7.252
0.000 2.146 4.752
1.780 0.000 4.752
0.000 2.146 0.000
1.780 0.000 0.000
```

**Energy above the most stable polymorph in this dataset**: 1 meV per atom
**D(E_F)**: 5.01 states/eV/cell
**Total moment**: 0.00 Bohr magnetons per cell


Record 18
Here is a geometry-optimized TbY5Er4 structure from Alexandria. Energies are from PBE.

Geometry as POSCAR:
```
TbY5Er4
1.0
-5.087 5.087 3.147
5.087 -5.087 3.147
5.087 5.087 -3.147
Tb Y Er
1 5 4
Cartesian
0.000 0.000 0.000
0.000 0.000 2.870
6.567 2.701 1.453
2.701 3.607 1.453
2.386 1.480 4.600
-1.480 2.386 4.600
6.618 -0.509 1.449
3.556 0.509 1.449
-0.509 3.556 1.449
0.509 6.618 1.449
```

**D(E_F)**: 15.23 states/eV/cell
**Calculated total energy**: -5.209 eV per atom
**Total moment**: 0.04 Bohr magnetons per cell


Record 19
Here is a geometry-optimized Rb2CaOF6 structure from Alexandria. Energies are from PBE.

Geometry as POSCAR:
```
Rb2CaOF6
1.0
-2.857 2.857 5.441
2.857 -2.857 5.441
2.857 2.857 -5.441
Rb Ca O F
2 1 1 6
Cartesian
2.857 0.000 2.720
0.000 2.857 2.720
0.000 0.000 0.000
0.000 0.000 5.441
0.000 0.000 2.183
1.607 1.607 0.000
1.250 -1.250 5.441
-1.250 1.250 5.441
1.250 1.250 5.441
0.000 0.000 8.698
```

**D(E_F)**: 0.00 states/eV/cell
**Calculated total energy**: -4.141 eV per atom
**Total moment**: 0.00 Bohr magnetons per cell


Record 20
Here is a geometry-optimized Na12Tl3Au structure from Alexandria. Energies are from PBE.

Geometry as POSCAR:
```
Na12Tl3Au
1.0
4.871 0.000 0.000
0.000 4.871 0.000
0.000 0.000 19.802
Na Tl Au
12 3 1
Cartesian
0.000 0.000 0.000
0.000 0.000 4.746
0.000 0.000 9.901
0.000 0.000 15.056
0.000 2.436 2.171
0.000 2.436 7.349
0.000 2.436 12.453
0.000 2.436 17.630
2.436 0.000 2.171
2.436 0.000 7.349
2.436 0.000 12.453
2.436 0.000 17.630
2.436 2.436 4.801
2.436 2.436 9.901
2.436 2.436 15.001
2.436 2.436 0.000
```

**D(E_F)**: 6.88 states/eV/cell
**Calculated total energy**: -1.732 eV per atom
**Total moment**: 0.00 Bohr magnetons per cell